1.
The following is a DFT calculation (PBE) of SrTiP2Cl after structural relaxation.

The calculation puts the energy relative to the elements, uncorrected at 0.78 eV/atom. As for the energy above the most stable polymorph in this dataset: 1.752 eV/atom.

It has space group P4/mmm (No. 123), with a = 5.4257 Å, b = 5.4257 Å, c = 5.2350 Å, α = 90.00°, β = 90.00° and γ = 90.00°. The asymmetric unit holds Sr at (0.0000, 0.0000, 0.0000), Ti at (0.5000, 0.5000, 0.5000), P at (0.0000, 0.5000, 0.0000) and Cl at (0.0000, 0.0000, 0.5000).

---

2.
The following is a DFT calculation (PBE) of SrTiPCl2 after structural relaxation.

The calculation puts the energy relative to the elements, uncorrected at -1.27 eV/atom. As for the energy above the most stable polymorph in this dataset: 0.000 eV/atom.

It has space group P4/mmm (No. 123), with a = 4.8421 Å, b = 4.8421 Å, c = 4.9432 Å, α = 90.00°, β = 90.00° and γ = 90.00°. The asymmetric unit holds Sr at (0.0000, 0.0000, 0.0000), Ti at (0.5000, 0.5000, 0.5000), P at (0.5000, 0.5000, 0.0000) and Cl at (0.0000, 0.5000, 0.5000).

---

3.
The following is a DFT calculation (PBE) of SrVP2Cl after structural relaxation.

The calculation puts the energy relative to the elements, uncorrected at 1.13 eV/atom. As for the energy above the most stable polymorph in this dataset: 1.897 eV/atom.

It has space group P4/mmm (No. 123), with a = 5.4732 Å, b = 5.4732 Å, c = 5.2666 Å, α = 90.00°, β = 90.00° and γ = 90.00°. The asymmetric unit holds Sr at (0.0000, 0.0000, 0.0000), V at (0.5000, 0.5000, 0.5000), P at (0.0000, 0.5000, 0.0000) and Cl at (0.0000, 0.0000, 0.5000).

---

4.
The following is a DFT calculation (PBE) of SrVP2Cl after structural relaxation.

The calculation puts the energy relative to the elements, uncorrected at -0.76 eV/atom. As for the energy above the most stable polymorph in this dataset: 0.000 eV/atom.

It has space group P4/mmm (No. 123), with a = 4.5788 Å, b = 4.5788 Å, c = 5.1682 Å, α = 90.00°, β = 90.00° and γ = 90.00°. The asymmetric unit holds Sr at (0.0000, 0.0000, 0.0000), V at (0.5000, 0.5000, 0.5000), P at (0.0000, 0.5000, 0.5000) and Cl at (0.5000, 0.5000, 0.0000).

---

5.
The following is a DFT calculation (PBE) of SrYPCl2 after structural relaxation.

The calculation puts the energy relative to the elements, uncorrected at -0.83 eV/atom. As for the energy above the most stable polymorph in this dataset: 0.716 eV/atom.

It has space group P4/mmm (No. 123), with a = 5.1620 Å, b = 5.1620 Å, c = 6.1463 Å, α = 90.00°, β = 90.00° and γ = 90.00°. The asymmetric unit holds Sr at (0.0000, 0.0000, 0.0000), Y at (0.5000, 0.5000, 0.5000), P at (0.0000, 0.0000, 0.5000) and Cl at (0.0000, 0.5000, 0.0000).

---

6.
The following is a DFT calculation (PBE) of SrYPCl2 after structural relaxation.

The calculation puts the energy relative to the elements, uncorrected at -1.55 eV/atom. As for the energy above the most stable polymorph in this dataset: 0.000 eV/atom.

It has space group P4/mmm (No. 123), with a = 5.1851 Å, b = 5.1851 Å, c = 5.5342 Å, α = 90.00°, β = 90.00° and γ = 90.00°. The asymmetric unit holds Sr at (0.0000, 0.0000, 0.0000), Y at (0.5000, 0.5000, 0.5000), P at (0.5000, 0.5000, 0.0000) and Cl at (0.0000, 0.5000, 0.5000).